(1)
Computed, not measured: an optimized crystal structure of NdPuSn at the GGA-PBE level of DFT. Values from VASP.

The structure in Quantum ESPRESSO input format:
```
&SYSTEM
  ibrav = 0, nat = 3, ntyp = 3
/
ATOMIC_SPECIES
Pu 244.00 Pu.upf
Sn 118.71 Sn.upf
Nd 144.24 Nd.upf
CELL_PARAMETERS angstrom
3.321 0.000 0.000
0.000 5.343 0.000
0.000 -2.672 4.627
ATOMIC_POSITIONS crystal
Pu 0.167 0.000 0.000
Sn 0.667 0.667 0.333
Nd 0.166 0.333 0.667
```

Summary:
Distance to the lowest polymorph of the same formula   0.301 eV/atom
D(E_F)   8.058 states/eV/cell
Formation energy   -160 meV per atom
Volume   27.37 Å³/atom

(2)
Computed, not measured: an optimized crystal structure of Tl12Au at the GGA-PBE level of DFT. Values from VASP.

The structure in Quantum ESPRESSO input format:
```
&SYSTEM
  ibrav = 0, nat = 13, ntyp = 2
/
ATOMIC_SPECIES
Tl 204.38 Tl.upf
Au 196.97 Au.upf
CELL_PARAMETERS angstrom
-4.424 5.969 -2.976
6.073 -1.556 -4.975
-4.538 -6.544 0.798
ATOMIC_POSITIONS crystal
Tl 0.692 0.874 0.182
Tl 0.308 0.490 0.182
Tl 0.874 0.182 0.692
Tl 0.692 0.510 0.818
Tl 0.818 0.692 0.510
Tl 0.182 0.692 0.874
Tl 0.510 0.818 0.692
Tl 0.490 0.182 0.308
Tl 0.818 0.308 0.126
Tl 0.182 0.308 0.490
Tl 0.308 0.126 0.818
Tl 0.126 0.818 0.308
Au 0.000 0.000 0.000
```

Summary:
D(E_F)   8.409 states/eV/cell
Formation energy   35 meV per atom
Volume   30.36 Å³/atom